# 1
This record from Alexandria describes a relaxed structure of Mg2ScOs. The functional is PBE-GGA.

Summary:
**Spin magnetization**: 0.000 μB/f.u.
**Mass density**: 6.29 g/cm³
**Distance to the lowest polymorph of the same formula**: 129 meV/atom
**Calculated total energy**: -5.15 eV/atom

Cell and atoms, written as CIF:
```
data_Mg2ScOs
_cell_length_a 3.405
_cell_length_b 4.799
_cell_length_c 9.175
_cell_angle_alpha 90.00
_cell_angle_beta 90.00
_cell_angle_gamma 90.00
_symmetry_space_group_name_H-M 'I m m 2'
_symmetry_Int_Tables_number 44
loop_
_symmetry_equiv_pos_as_xyz
'x,y,z'
'-x,-y,z'
'-x,y,z'
'x,-y,z'
'x+1/2,y+1/2,z+1/2'
'-x+1/2,-y+1/2,z+1/2'
'-x+1/2,y+1/2,z+1/2'
'x+1/2,-y+1/2,z+1/2'
loop_
_atom_site_label
_atom_site_fract_x
_atom_site_fract_y
_atom_site_fract_z
_atom_site_occupancy
Mg1 0.000 0.000 0.000 1
Mg2 0.000 0.500 0.233 1
Sc1 0.000 0.000 0.449 1
Os1 0.000 0.500 0.731 1
```



# 2
This record from Alexandria describes a relaxed structure of MgScOs. The functional is PBE-GGA.

Summary:
**Spin magnetization**: 0.000 μB/f.u.
**Mass density**: 7.89 g/cm³
**Calculated total energy**: -6.51 eV/atom

Cell and atoms, written as CIF:
```
data_MgScOs
_cell_length_a 3.321
_cell_length_b 3.321
_cell_length_c 9.909
_cell_angle_alpha 90.00
_cell_angle_beta 90.00
_cell_angle_gamma 90.00
_symmetry_space_group_name_H-M 'I 4 m m'
_symmetry_Int_Tables_number 107
_symmetry_space_group_name_Hall 'I 4 -2'
loop_
_atom_site_label
_atom_site_fract_x
_atom_site_fract_y
_atom_site_fract_z
_atom_site_occupancy
Mg1 0.000 0.000 0.000 1
Sc1 0.000 0.000 0.712 1
Os1 0.000 0.000 0.351 1
```



# 3
This record from Alexandria describes a relaxed structure of Mg2ScOs. The functional is PBE-GGA.

Summary:
**Spin magnetization**: 0.000 μB/f.u.
**Mass density**: 6.66 g/cm³
**Distance to the lowest polymorph of the same formula**: 201 meV/atom
**Calculated total energy**: -5.08 eV/atom

Cell and atoms, written as CIF:
```
data_Mg2ScOs
_cell_length_a 6.566
_cell_length_b 6.566
_cell_length_c 6.566
_cell_angle_alpha 90.00
_cell_angle_beta 90.00
_cell_angle_gamma 90.00
_symmetry_space_group_name_H-M 'F m -3 m'
_symmetry_Int_Tables_number 225
_symmetry_space_group_name_Hall '-F 4 2 3'
loop_
_atom_site_label
_atom_site_fract_x
_atom_site_fract_y
_atom_site_fract_z
_atom_site_occupancy
Mg1 0.250 0.250 0.250 1
Sc1 0.000 0.000 0.000 1
Os1 0.000 0.000 0.500 1
```



# 4
This record from Alexandria describes a relaxed structure of MgScOs. The functional is PBE-GGA.

Summary:
**Spin magnetization**: 0.000 μB/f.u.
**Mass density**: 7.57 g/cm³
**Calculated total energy**: -6.29 eV/atom

Cell and atoms, written as CIF:
```
data_MgScOs
_cell_length_a 3.0931
_cell_length_b 3.0931
_cell_length_c 6.8675
_cell_angle_alpha 90.00
_cell_angle_beta 90.00
_cell_angle_gamma 120.00
_symmetry_space_group_name_H-M 'P 3 m 1'
_symmetry_Int_Tables_number 156
loop_
_symmetry_equiv_pos_as_xyz
'x,y,z'
'-y,x-y,z'
'-x+y,-x,z'
'-y,-x,z'
'-x+y,y,z'
'x,x-y,z'
loop_
_atom_site_label
_atom_site_fract_x
_atom_site_fract_y
_atom_site_fract_z
_atom_site_occupancy
Mg1 0.0000 0.0000 0.0000 1
Sc1 0.3333 0.6667 0.5924 1
Os1 0.6667 0.3333 0.3113 1
```



# 5
This record from Alexandria describes a relaxed structure of Mg2ScOs. The functional is PBE-GGA.

Summary:
**Spin magnetization**: 0.000 μB/f.u.
**Mass density**: 6.45 g/cm³
**Distance to the lowest polymorph of the same formula**: 260 meV/atom
**Calculated total energy**: -5.02 eV/atom

Cell and atoms, written as CIF:
```
data_Mg2ScOs
_cell_length_a 3.501
_cell_length_b 3.501
_cell_length_c 5.965
_cell_angle_alpha 90.00
_cell_angle_beta 90.00
_cell_angle_gamma 90.00
_symmetry_space_group_name_H-M 'P 4/m m m'
_symmetry_Int_Tables_number 123
_symmetry_space_group_name_Hall '-P 4 2'
loop_
_atom_site_label
_atom_site_fract_x
_atom_site_fract_y
_atom_site_fract_z
_atom_site_occupancy
Mg1 0.000 0.000 0.218 1
Sc1 0.500 0.500 0.500 1
Os1 0.500 0.500 0.000 1
```



# 6
This record from Alexandria describes a relaxed structure of MgSc3Os. The functional is PBE-GGA.

Summary:
**Spin magnetization**: 0.000 μB/f.u.
**Mass density**: 5.35 g/cm³
**Distance to the lowest polymorph of the same formula**: 0 meV/atom
**Calculated total energy**: -6.60 eV/atom

Cell and atoms, written as CIF:
```
data_MgSc3Os
_cell_length_a 9.042
_cell_length_b 7.529
_cell_length_c 3.185
_cell_angle_alpha 90.00
_cell_angle_beta 90.00
_cell_angle_gamma 90.00
_symmetry_space_group_name_H-M 'P m a 2'
_symmetry_Int_Tables_number 28
loop_
_symmetry_equiv_pos_as_xyz
'x,y,z'
'-x,-y,z'
'-x+1/2,y,z'
'x+1/2,-y,z'
loop_
_atom_site_label
_atom_site_fract_x
_atom_site_fract_y
_atom_site_fract_z
_atom_site_occupancy
Mg1 0.250 0.083 0.000 1
Sc1 0.042 0.788 0.501 1
Sc2 0.250 0.454 0.502 1
Os1 0.000 0.500 0.001 1
```



calculated total energy of number 1 (Mg2ScOs)?
-5.15 eV/atom



What is the formula in the fifth record?
Mg2ScOs



Repeat the first record exactly.
This record from Alexandria describes a relaxed structure of Mg2ScOs. The functional is PBE-GGA.

Summary:
**Spin magnetization**: 0.000 μB/f.u.
**Mass density**: 6.29 g/cm³
**Distance to the lowest polymorph of the same formula**: 129 meV/atom
**Calculated total energy**: -5.15 eV/atom

Cell and atoms, written as CIF:
```
data_Mg2ScOs
_cell_length_a 3.405
_cell_length_b 4.799
_cell_length_c 9.175
_cell_angle_alpha 90.00
_cell_angle_beta 90.00
_cell_angle_gamma 90.00
_symmetry_space_group_name_H-M 'I m m 2'
_symmetry_Int_Tables_number 44
loop_
_symmetry_equiv_pos_as_xyz
'x,y,z'
'-x,-y,z'
'-x,y,z'
'x,-y,z'
'x+1/2,y+1/2,z+1/2'
'-x+1/2,-y+1/2,z+1/2'
'-x+1/2,y+1/2,z+1/2'
'x+1/2,-y+1/2,z+1/2'
loop_
_atom_site_label
_atom_site_fract_x
_atom_site_fract_y
_atom_site_fract_z
_atom_site_occupancy
Mg1 0.000 0.000 0.000 1
Mg2 0.000 0.500 0.233 1
Sc1 0.000 0.000 0.449 1
Os1 0.000 0.500 0.731 1
```



calculated total energy of number 2 (MgScOs)?
-6.51 eV/atom